No. 1
VASP calculation (PBE-GGA) on a relaxed structure of Ba2LaNiP.

```
data_Ba2LaNiP
_chemical_formula_sum 'Ba2 La1 Ni1 P1'
_space_group_name_H-M_alt 'P 1'
_space_group_IT_number 1
_cell_length_a 6.268
_cell_length_b 6.268
_cell_length_c 4.592
_cell_angle_alpha 90.00
_cell_angle_beta 90.00
_cell_angle_gamma 90.00
loop_
_space_group_symop_operation_xyz
'x,y,z'
loop_
_atom_site_label
_atom_site_type_symbol
_atom_site_fract_x
_atom_site_fract_y
_atom_site_fract_z
Ba1 Ba 0.000 0.500 0.000
Ba2 Ba 0.500 0.000 0.000
La1 La 0.000 0.000 0.000
Ni1 Ni 0.000 0.000 0.500
P1 P 0.500 0.500 0.500
```

## Properties
**Spin magnetization**: 0.000 Bohr magnetons per cell
**Symmetry**: P4/mmm
**DFT formation energy**: 626 meV per atom
**Theoretical density**: 4.63 g cm⁻³
**D(E_F)**: 5.685 states/eV/cell

---

No. 2
VASP calculation (PBE-GGA) on a relaxed structure of BaLaNi2Sb2.

```
data_BaLaNi2Sb2
_chemical_formula_sum 'Ba1 La1 Ni2 Sb2'
_space_group_name_H-M_alt 'P 1'
_space_group_IT_number 1
_cell_length_a 4.426
_cell_length_b 4.426
_cell_length_c 9.288
_cell_angle_alpha 90.00
_cell_angle_beta 90.00
_cell_angle_gamma 120.00
loop_
_space_group_symop_operation_xyz
'x,y,z'
loop_
_atom_site_label
_atom_site_type_symbol
_atom_site_fract_x
_atom_site_fract_y
_atom_site_fract_z
Ba1 Ba 0.000 0.000 0.000
La1 La 0.000 0.000 0.500
Ni1 Ni 0.333 0.667 0.717
Ni2 Ni 0.667 0.333 0.283
Sb1 Sb 0.333 0.667 0.267
Sb2 Sb 0.667 0.333 0.733
```

## Properties
**Spin magnetization**: 0.000 Bohr magnetons per cell
**Formation energy (no corrections)**: -761.4 meV/atom
**Symmetry**: P-3m1
**Theoretical density**: 6.71 g cm⁻³
**D(E_F)**: 5.607 states/eV/cell

---

No. 3
VASP calculation (PBE-GGA) on a relaxed structure of Ba2LaScNi.

```
data_Ba2LaScNi
_chemical_formula_sum 'Ba2 La1 Sc1 Ni1'
_space_group_name_H-M_alt 'P 1'
_space_group_IT_number 1
_cell_length_a 6.454
_cell_length_b 6.454
_cell_length_c 4.669
_cell_angle_alpha 90.00
_cell_angle_beta 90.00
_cell_angle_gamma 90.00
loop_
_space_group_symop_operation_xyz
'x,y,z'
loop_
_atom_site_label
_atom_site_type_symbol
_atom_site_fract_x
_atom_site_fract_y
_atom_site_fract_z
Ba1 Ba 0.000 0.500 0.000
Ba2 Ba 0.500 0.000 0.000
La1 La 0.000 0.000 0.000
Sc1 Sc 0.500 0.500 0.500
Ni1 Ni 0.000 0.000 0.500
```

## Properties
**Spin magnetization**: 0.000 Bohr magnetons per cell
**Symmetry**: P4/mmm
**DFT formation energy**: 745 meV per atom
**Theoretical density**: 4.42 g cm⁻³
**D(E_F)**: 8.770 states/eV/cell

---

No. 4
VASP calculation (PBE-GGA) on a relaxed structure of BaLa2ScNi.

```
data_BaLa2ScNi
_chemical_formula_sum 'Ba1 La2 Sc1 Ni1'
_space_group_name_H-M_alt 'P 1'
_space_group_IT_number 1
_cell_length_a 5.613
_cell_length_b 5.613
_cell_length_c 5.392
_cell_angle_alpha 90.00
_cell_angle_beta 90.00
_cell_angle_gamma 90.00
loop_
_space_group_symop_operation_xyz
'x,y,z'
loop_
_atom_site_label
_atom_site_type_symbol
_atom_site_fract_x
_atom_site_fract_y
_atom_site_fract_z
Ba1 Ba 0.000 0.000 0.000
La1 La 0.000 0.500 0.500
La2 La 0.500 0.000 0.500
Sc1 Sc 0.500 0.500 0.000
Ni1 Ni 0.500 0.500 0.500
```

## Properties
**Spin magnetization**: 0.000 Bohr magnetons per cell
**Symmetry**: P4/mmm
**DFT formation energy**: 5 meV per atom
**Theoretical density**: 5.07 g cm⁻³
**D(E_F)**: 8.234 states/eV/cell